Density functional theory data (PBE) for RbMnSe2 after structural relaxation.

Cell lengths 7.1087, 11.0727, 6.2713 Å; angles 90.00, 90.00, 90.00 degrees
Last column: nearest neighbours and their distance in Å.
Element x y z (fractional)
Rb  0.1125  0.1302  0.0000  8 Se 3.49-3.90, 1 Mn 3.79
Rb  0.3875  0.6302  0.5000  8 Se 3.49-3.90, 1 Mn 3.79
Rb  0.6125  0.3698  0.0000  8 Se 3.49-3.90, 1 Mn 3.79
Rb  0.8875  0.8698  0.5000  8 Se 3.49-3.90, 1 Mn 3.79
Mn  0.0363  0.3730  0.4625  4 Se 2.42-2.44
Mn  0.4637  0.8730  0.9625  4 Se 2.42-2.44
Mn  0.5363  0.1270  0.4625  4 Se 2.42-2.44
Mn  0.9637  0.6270  0.9625  4 Se 2.42-2.44
Se  0.1046  0.4451  0.1057  2 Mn 2.42
Se  0.1436  0.8068  0.0390  2 Mn 2.42-2.44
Se  0.3564  0.3068  0.5390  2 Mn 2.42-2.44
Se  0.3954  0.9451  0.6057  2 Mn 2.42
Se  0.6046  0.0549  0.1057  2 Mn 2.42
Se  0.6436  0.6932  0.0390  2 Mn 2.42-2.44
Se  0.8564  0.1932  0.5390  2 Mn 2.42-2.44
Se  0.8954  0.5549  0.6057  2 Mn 2.42

DFT total energy: -0.184 hartree per atom
spin magnetization: 1.000 μB/atom
SG: Pna2_1
mass density: 4.01 g/cm³


Density functional theory data (PBE) for Rb2Mn2Se3 after structural relaxation.

Cell lengths 7.4116, 7.4116, 8.5435 Å; angles 122.02, 122.02, 34.12 degrees
Last column: nearest neighbours and their distance in Å.
Element x y z (fractional)
Rb  0.0649  0.0649  0.3443  4 Se 3.35-3.67
Rb  0.9351  0.9351  0.6557  4 Se 3.35-3.67
Mn  0.3052  0.3052  0.9297  4 Se 2.48-2.63
Mn  0.6948  0.6948  0.0703  4 Se 2.48-2.63
Se  0.3089  0.3089  0.2405  3 Mn 2.62-2.63
Se  0.5000  0.5000  0.0000  2 Mn 2.48
Se  0.6911  0.6911  0.7595  3 Mn 2.62-2.63

DFT total energy: -0.190 hartree per atom
spin magnetization: 1.429 μB/atom
SG: C2/m
mass density: 3.92 g/cm³


Density functional theory data (PBE) for Rb3Mn2Se4 after structural relaxation.

Cell lengths 9.3131, 9.3131, 7.2649 Å; angles 93.94, 93.94, 73.86 degrees
Last column: nearest neighbours and their distance in Å.
Element x y z (fractional)
Rb  0.0982  0.9018  0.7500  6 Se 3.38-3.55
Rb  0.2416  0.5112  0.4528  5 Se 3.41-3.80, 1 Mn 3.78
Rb  0.4888  0.7584  0.0472  5 Se 3.41-3.80, 1 Mn 3.78
Rb  0.5112  0.2416  0.9528  5 Se 3.41-3.80, 1 Mn 3.78
Rb  0.7584  0.4888  0.5472  5 Se 3.41-3.80, 1 Mn 3.78
Rb  0.9018  0.0982  0.2500  6 Se 3.38-3.55
Mn  0.0895  0.3326  0.9384  4 Se 2.48-2.53
Mn  0.3326  0.0895  0.4384  4 Se 2.48-2.53
Mn  0.6674  0.9105  0.5616  4 Se 2.48-2.53
Mn  0.9105  0.6674  0.0616  4 Se 2.48-2.53
Se  0.1126  0.2360  0.6112  2 Mn 2.48-2.49
Se  0.1797  0.5635  0.9762  2 Mn 2.51-2.53
Se  0.2360  0.1126  0.1112  2 Mn 2.48-2.49
Se  0.4365  0.8203  0.5238  2 Mn 2.51-2.53
Se  0.5635  0.1797  0.4762  2 Mn 2.51-2.53
Se  0.7640  0.8874  0.8888  2 Mn 2.48-2.49
Se  0.8203  0.4365  0.0238  2 Mn 2.51-2.53
Se  0.8874  0.7640  0.3888  2 Mn 2.48-2.49

DFT total energy: -0.175 hartree per atom
spin magnetization: 1.000 μB/atom
SG: C2/c
mass density: 3.76 g/cm³


Density functional theory data (PBE) for RbMnSe2 after structural relaxation.

Cell lengths 7.6236, 7.6236, 7.6236 Å; angles 149.24, 149.24, 44.06 degrees
Last column: nearest neighbours and their distance in Å.
Element x y z (fractional)
Rb  0.0000  0.0000  0.0000  8 Se 3.58
Mn  0.2500  0.7500  0.5000  4 Se 2.45
Se  0.3474  0.3474  0.0000  2 Mn 2.45
Se  0.6526  0.6526  0.0000  2 Mn 2.45

DFT total energy: -0.182 hartree per atom
spin magnetization: 1.000 μB/atom
SG: I-4m2
mass density: 4.29 g/cm³


Density functional theory data (PBE) for RbMnSe2 after structural relaxation.

Cell lengths 6.7901, 6.7901, 6.7901 Å; angles 115.68, 115.68, 97.66 degrees
Last column: nearest neighbours and their distance in Å.
Element x y z (fractional)
Rb  0.0000  0.0000  0.0000  8 Se 3.50-3.90
Rb  0.7500  0.2500  0.5000  8 Se 3.50-3.90
Mn  0.2500  0.7500  0.5000  4 Se 2.28
Mn  0.5000  0.5000  0.0000  4 Se 2.28
Se  0.2594  0.1250  0.6344  2 Mn 2.28
Se  0.3750  0.7406  0.8656  2 Mn 2.28
Se  0.4906  0.6250  0.3656  2 Mn 2.28
Se  0.8750  0.5094  0.1344  2 Mn 2.28

DFT total energy: -0.176 hartree per atom
spin magnetization: 0.000 μB/atom
SG: I-42d
mass density: 4.24 g/cm³


Density functional theory data (PBE) for Rb3MnSe after structural relaxation.

Cell lengths 6.6407, 6.6407, 6.6407 Å; angles 90.00, 90.00, 90.00 degrees
Last column: nearest neighbours and their distance in Å.
Element x y z (fractional)
Rb  0.0000  0.0000  0.5000  2 Se 3.32
Rb  0.0000  0.5000  0.0000  2 Se 3.32
Rb  0.5000  0.0000  0.0000  2 Se 3.32
Mn  0.5000  0.5000  0.5000  12 Rb 4.70
Se  0.0000  0.0000  0.0000  6 Rb 3.32

DFT total energy: -0.113 hartree per atom
spin magnetization: 0.896 μB/atom
SG: Pm-3m
mass density: 2.21 g/cm³